Material: KNiAg2F8
Method: DFT, GGA+U
State: relaxed

Size of the total moment: 5.1 μB/cell
Final energy: -3.552 eV per atom

Cell lengths 5.718, 5.718, 6.980 Å; angles 114.18, 114.18, 90.00 degrees
Last column: magnetic moment on the atom in μB.
Sites, in units of the cell vectors:
K: 0.750 0.250 0.500  0.00
Ni: 0.000 0.000 0.000  2.24
Ag: 0.500 0.500 0.000  0.60
Ag: 0.250 0.750 0.500  0.54
F: 0.856 0.783 0.278  0.21
F: 0.422 0.495 0.278  0.21
F: 0.734 0.717 0.813  0.17
F: 0.079 0.096 0.813  0.17
F: 0.904 0.266 0.187  0.17
F: 0.283 0.921 0.187  0.17
F: 0.217 0.578 0.722  0.21
F: 0.505 0.144 0.722  0.21